Below is a geometry-optimized Ac2YAg structure, with properties calculated at the PBE level.

Properties
The calculation puts the theoretical density at 7.673 g/cm³. Its space-group type is No. 123. The value obtained for the density of states at the Fermi level is 5.95 states/eV/f.u. As for the magnetic moment: 0.00 μB/f.u. Its formation energy is -0.085 eV per atom. Its volume is 35.209 A^3/atom.

abc: 3.9558 3.9558 9.0000
angles: 90.00 90.00 90.00
Element x y z (fractional)
Ac 0.0000 0.0000 0.2188
Ac 0.0000 0.0000 0.7812
Ag 0.5000 0.5000 0.0000
Y 0.5000 0.5000 0.5000